Dy5Mg2Ni2 | GGA-PBE | optimized geometry

a b c (Å): 9.2965 9.2965 7.3030
angles (deg): 90.00 90.00 46.87
Closest atoms and distances in Å follow each position.
Positions (direct):
Dy (0.0000, 0.0000, 0.0000)  4 Ni 2.92-2.93
Dy (0.0702, 0.7076, 0.6771)  3 Ni 2.81-2.97
Dy (0.2076, 0.5702, 0.1771)  3 Ni 2.81-2.97
Dy (0.2924, 0.9298, 0.6771)  3 Ni 2.81-2.97
Dy (0.4298, 0.7924, 0.1771)  3 Ni 2.81-2.97
Dy (0.5000, 0.5000, 0.5000)  4 Ni 2.92-2.93
Dy (0.5702, 0.2076, 0.8229)  3 Ni 2.81-2.97
Dy (0.7076, 0.0702, 0.3229)  3 Ni 2.81-2.97
Dy (0.7924, 0.4298, 0.8229)  3 Ni 2.81-2.97
Dy (0.9298, 0.2924, 0.3229)  3 Ni 2.81-2.97
Mg (0.2278, 0.2278, 0.0000)  6 Dy 3.32-3.36
Mg (0.2722, 0.2722, 0.5000)  6 Dy 3.32-3.36
Mg (0.7278, 0.7278, 0.5000)  6 Dy 3.32-3.36
Mg (0.7722, 0.7722, 0.0000)  6 Dy 3.32-3.36
Ni (0.1220, 0.8780, 0.3798)  1 Ni 2.52, 2 Dy 2.81
Ni (0.3780, 0.6220, 0.8798)  1 Ni 2.52, 2 Dy 2.81
Ni (0.6220, 0.3780, 0.1202)  1 Ni 2.52, 2 Dy 2.81
Ni (0.8780, 0.1220, 0.6202)  1 Ni 2.52, 2 Dy 2.81

Properties
**Crystal system**: orthorhombic
**DFT formation energy**: -172.7 meV per atom

=====

Cs2BrCl | GGA-PBE | optimized geometry

a b c (Å): 6.0887 6.0887 6.0887
angles (deg): 60.00 60.00 60.00
Closest atoms and distances in Å follow each position.
Positions (direct):
Cs (0.2500, 0.2500, 0.2500)  4 Cl 3.73, 4 Br 3.73
Cs (0.7500, 0.7500, 0.7500)  4 Cl 3.73, 4 Br 3.73
Br (0.0000, 0.0000, 0.0000)  8 Cs 3.73
Cl (0.5000, 0.5000, 0.5000)  8 Cs 3.73

Properties
**Uncorrected formation energy**: -7.31 eV/f.u.
**Crystal system**: cubic

=====

M_tot values, unit μB per cell, following the record order: 0.0, 0.0.